#1
## Sc2Pd3Au3 (PBE-GGA)

Data for a geometry-optimized Sc2Pd3Au3 structure.

POSCAR file:
```
Sc2Pd3Au3
1.0
-3.977 -0.024 -3.404
2.006 -4.511 -1.742
-3.067 -2.965 3.034
Au Sc Pd
3 2 3
Direct
0.264 0.736 0.000
0.736 0.000 0.736
0.000 0.264 0.264
0.732 0.732 0.268
0.268 0.268 0.732
0.500 0.209 0.209
0.791 0.500 0.791
0.209 0.791 0.500
```

Computed properties:
The crystal system is trigonal.


#2
## Sc2Pd3Au3 (PBE-GGA)

Data for a geometry-optimized Sc2Pd3Au3 structure.

POSCAR file:
```
Sc2Pd3Au3
1.0
4.644 0.000 0.000
-2.322 4.763 0.000
0.000 0.000 13.271
Au Sc Pd
6 4 6
Direct
0.917 0.835 0.086
0.743 0.487 0.250
0.917 0.835 0.414
0.257 0.513 0.750
0.083 0.165 0.914
0.083 0.165 0.586
0.238 0.477 0.392
0.762 0.523 0.892
0.238 0.477 0.108
0.762 0.523 0.608
0.603 0.205 0.067
0.397 0.795 0.933
0.397 0.795 0.567
0.441 0.882 0.250
0.603 0.205 0.433
0.559 0.118 0.750
```

Computed properties:
The crystal system is orthorhombic.


#1 is the most stable structure; the next one sits 0.081 eV/atom above it.


#1
## ScPd6Au (PBE-GGA)

Data for a geometry-optimized ScPd6Au structure.

POSCAR file:
```
ScPd6Au
1.0
-3.708 0.825 -1.339
0.984 -3.087 -4.628
-1.974 -4.588 2.640
Pd Au Sc
6 1 1
Direct
0.500 0.000 0.500
0.000 0.249 0.249
0.000 0.752 0.248
0.000 0.751 0.751
0.500 0.500 0.000
0.000 0.248 0.752
0.500 0.500 0.500
0.500 0.000 0.000
```

Computed properties:
The crystal system is tetragonal.


#2
## ScPd6Au (PBE-GGA)

Data for a geometry-optimized ScPd6Au structure.

POSCAR file:
```
ScPd6Au
1.0
4.757 0.808 -0.049
1.163 4.683 -0.049
1.667 1.546 6.839
Pd Sc Au
6 1 1
Direct
0.359 0.359 0.937
0.540 0.055 0.306
0.641 0.641 0.063
0.945 0.460 0.694
0.055 0.540 0.306
0.460 0.945 0.694
0.500 0.500 0.500
0.000 0.000 0.000
```

Computed properties:
The crystal system is monoclinic.


#1 is the most stable structure; the next one sits 0.309 eV/atom above it.


#1
## ScPd8Au2 (PBE-GGA)

Data for a geometry-optimized ScPd8Au2 structure.

POSCAR file:
```
ScPd8Au2
1.0
-2.797 0.259 3.284
-3.891 -4.676 -2.944
4.311 -3.400 3.940
Pd Au Sc
8 2 1
Direct
0.000 0.299 0.036
0.500 0.328 0.328
0.000 0.036 0.299
0.000 0.964 0.701
0.500 0.762 0.238
0.500 0.238 0.762
0.000 0.701 0.964
0.500 0.672 0.672
0.000 0.625 0.375
0.000 0.375 0.625
0.500 0.000 0.000
```

Computed properties:
The crystal system is orthorhombic.


#2
## ScPd8Au2 (PBE-GGA)

Data for a geometry-optimized ScPd8Au2 structure.

POSCAR file:
```
ScPd8Au2
1.0
4.849 1.618 0.000
2.835 7.034 0.000
1.417 3.517 6.387
Pd Au Sc
8 2 1
Direct
0.881 0.326 0.774
0.119 0.900 0.774
0.500 0.787 0.427
0.321 0.412 0.000
0.679 0.588 0.000
0.881 0.100 0.226
0.500 0.213 0.573
0.119 0.674 0.226
0.000 0.308 0.383
0.000 0.692 0.617
0.500 0.000 0.000
```

Computed properties:
The crystal system is monoclinic.


#1 is the most stable structure; the next one sits 0.014 eV/atom above it.


#1
## SmScPdAu (PBE-GGA)

Data for a geometry-optimized SmScPdAu structure.

POSCAR file:
```
SmScPdAu
1.0
-0.199 2.070 3.010
-4.238 1.494 -1.308
-2.091 -4.992 1.072
Sm Sc Pd Au
1 1 1 1
Direct
0.858 0.500 0.715
0.137 0.000 0.273
0.588 0.500 0.175
0.418 0.000 0.836
```

Computed properties:
The crystal system is orthorhombic.


#2
## SmScPdAu (PBE-GGA)

Data for a geometry-optimized SmScPdAu structure.

POSCAR file:
```
SmScPdAu
1.0
4.959 0.000 0.000
2.480 4.295 0.000
2.480 1.432 4.049
Au Sm Pd Sc
1 1 1 1
Direct
0.000 0.000 0.000
0.750 0.750 0.750
0.500 0.500 0.500
0.250 0.250 0.250
```

Computed properties:
The crystal system is cubic.


#1 is the most stable structure; the next one sits 0.030 eV/atom above it.


#1
## PdAuSe3 (PBE-GGA)

Data for a geometry-optimized PdAuSe3 structure.

POSCAR file:
```
PdAuSe3
1.0
6.883 -0.157 -0.156
1.428 8.137 0.238
1.428 0.298 8.135
Se Pd Au
12 4 4
Direct
0.111 0.488 0.303
0.418 0.421 0.840
0.410 0.024 0.144
0.090 0.856 0.976
0.918 0.840 0.421
0.590 0.976 0.856
0.389 0.697 0.512
0.910 0.144 0.024
0.582 0.579 0.160
0.889 0.512 0.697
0.611 0.303 0.488
0.082 0.160 0.579
0.750 0.236 0.764
0.250 0.764 0.236
0.250 0.420 0.580
0.750 0.580 0.420
0.316 0.934 0.697
0.816 0.697 0.934
0.184 0.303 0.066
0.684 0.066 0.303
```

Computed properties:
The crystal system is monoclinic.


#2
## PdAuSe3 (PBE-GGA)

Data for a geometry-optimized PdAuSe3 structure.

POSCAR file:
```
PdAuSe3
1.0
-4.475 -1.618 1.320
-0.843 -1.457 -4.643
1.910 -4.433 1.044
Se Au Pd
3 1 1
Direct
0.000 0.500 0.000
0.500 0.000 0.000
0.000 0.000 0.500
0.500 0.500 0.500
0.000 0.000 0.000
```

Computed properties:
The crystal system is cubic.


#1 is the most stable structure; the next one sits 0.700 eV/atom above it.


#1
## Pd3AuSe (PBE-GGA)

Data for a geometry-optimized Pd3AuSe structure.

POSCAR file:
```
Pd3AuSe
1.0
4.654 0.000 0.000
0.000 4.654 0.000
0.000 0.000 4.654
Pd Au Se
3 1 1
Direct
0.000 0.000 0.500
0.500 0.000 0.000
0.000 0.500 0.000
0.500 0.500 0.500
0.000 0.000 0.000
```

Computed properties:
The crystal system is cubic.


#2
## Pd3AuSe (PBE-GGA)

Data for a geometry-optimized Pd3AuSe structure.

POSCAR file:
```
Pd3AuSe
1.0
4.914 0.000 0.000
0.000 7.250 -0.503
0.000 -1.935 9.686
Pd Au Se
12 4 4
Direct
0.165 0.250 0.018
0.161 0.640 0.586
0.160 0.863 0.372
0.661 0.360 0.914
0.335 0.250 0.518
0.660 0.137 0.128
0.665 0.750 0.482
0.839 0.360 0.414
0.339 0.640 0.086
0.835 0.750 0.982
0.340 0.863 0.872
0.840 0.137 0.628
0.164 0.453 0.805
0.664 0.547 0.695
0.336 0.453 0.305
0.836 0.547 0.195
0.310 0.974 0.638
0.190 0.974 0.138
0.810 0.026 0.862
0.690 0.026 0.362
```

Computed properties:
The crystal system is monoclinic.


#3
## Pd3AuSe (PBE-GGA)

Data for a geometry-optimized Pd3AuSe structure.

POSCAR file:
```
Pd3AuSe
1.0
4.956 0.000 0.000
0.000 4.956 0.000
0.000 0.000 4.956
Au Pd Se
1 3 1
Direct
0.000 0.000 0.000
0.000 0.000 0.500
0.500 0.000 0.000
0.000 0.500 0.000
0.500 0.500 0.500
```

Computed properties:
The crystal system is cubic.


#2 is the most stable structure; the next one sits 0.307 eV/atom above it.